(1)
# meta-GGA SCAN Cr2CuTc, PBEsol geometry
data_Cr2CuTc
_cell_length_a 2.580
_cell_length_b 2.580
_cell_length_c 8.640
_cell_angle_alpha 81.41
_cell_angle_beta 81.41
_cell_angle_gamma 60.00
_space_group_name_H-M_alt 'P 1'
_space_group_IT_number 1
_space_group_name_Hall 'P 1'
loop_
_atom_site_label
_atom_site_type_symbol
_atom_site_fract_x
_atom_site_fract_y
_atom_site_fract_z
Cr1 Cr 0.250 0.250 0.251
Cr2 Cr 0.750 0.750 0.749
Cu1 Cu 0.500 0.500 0.500
Tc1 Tc 0.000 0.000 0.000
# - size of the total moment (μB per cell) = 0.00
# - E_form (eV/f.u.) = 1.59



(2)
# meta-GGA SCAN K4GeP4S12, PBEsol geometry
data_K4GeP4S12
_cell_length_a 7.173
_cell_length_b 7.173
_cell_length_c 23.109
_cell_angle_alpha 81.79
_cell_angle_beta 81.79
_cell_angle_gamma 66.60
_space_group_name_H-M_alt 'P 1'
_space_group_IT_number 1
_space_group_name_Hall 'P 1'
loop_
_atom_site_label
_atom_site_type_symbol
_atom_site_fract_x
_atom_site_fract_y
_atom_site_fract_z
K1 K 0.834 0.791 0.045
K2 K 0.209 0.166 0.455
K3 K 0.166 0.209 0.955
K4 K 0.791 0.834 0.545
K5 K 0.682 0.510 0.317
K6 K 0.490 0.318 0.183
K7 K 0.318 0.490 0.683
K8 K 0.510 0.682 0.817
Ge1 Ge 0.041 0.959 0.250
Ge2 Ge 0.959 0.041 0.750
P1 P 0.114 0.693 0.375
P2 P 0.307 0.886 0.125
P3 P 0.886 0.307 0.625
P4 P 0.693 0.114 0.875
P5 P 0.083 0.213 0.116
P6 P 0.787 0.917 0.384
P7 P 0.917 0.787 0.884
P8 P 0.213 0.083 0.616
S1 S 0.213 0.631 0.453
S2 S 0.369 0.787 0.047
S3 S 0.787 0.369 0.547
S4 S 0.631 0.213 0.953
S5 S 0.147 0.465 0.328
S6 S 0.535 0.853 0.172
S7 S 0.853 0.535 0.672
S8 S 0.465 0.147 0.828
S9 S 0.108 0.756 0.179
S10 S 0.244 0.892 0.321
S11 S 0.892 0.244 0.821
S12 S 0.756 0.108 0.679
S13 S 0.232 0.386 0.078
S14 S 0.614 0.768 0.422
S15 S 0.768 0.614 0.922
S16 S 0.386 0.232 0.578
S17 S 0.842 0.234 0.079
S18 S 0.766 0.158 0.421
S19 S 0.158 0.766 0.921
S20 S 0.234 0.842 0.579
S21 S 0.018 0.270 0.208
S22 S 0.730 0.982 0.292
S23 S 0.982 0.730 0.792
S24 S 0.270 0.018 0.708
# - size of the total moment (μB per cell) = 0.00
# - uncorrected formation energy (eV per atom) = -0.80



(3)
# meta-GGA SCAN LaZr2BeFe, PBEsol geometry
data_LaZr2BeFe
_cell_length_a 4.297
_cell_length_b 5.042
_cell_length_c 5.042
_cell_angle_alpha 90.00
_cell_angle_beta 90.00
_cell_angle_gamma 90.00
_space_group_name_H-M_alt 'P 1'
_space_group_IT_number 1
_space_group_name_Hall 'P 1'
loop_
_atom_site_label
_atom_site_type_symbol
_atom_site_fract_x
_atom_site_fract_y
_atom_site_fract_z
Be1 Be 0.500 0.500 0.500
Fe1 Fe 0.500 0.000 0.000
Zr1 Zr 0.000 0.000 0.500
Zr2 Zr 0.000 0.500 0.000
La1 La 0.000 0.000 0.000
# - size of the total moment (μB per cell) = 1.17
# - E_form (eV/f.u.) = 8.07



Please write out number 2 again, unchanged.
# meta-GGA SCAN K4GeP4S12, PBEsol geometry
data_K4GeP4S12
_cell_length_a 7.173
_cell_length_b 7.173
_cell_length_c 23.109
_cell_angle_alpha 81.79
_cell_angle_beta 81.79
_cell_angle_gamma 66.60
_space_group_name_H-M_alt 'P 1'
_space_group_IT_number 1
_space_group_name_Hall 'P 1'
loop_
_atom_site_label
_atom_site_type_symbol
_atom_site_fract_x
_atom_site_fract_y
_atom_site_fract_z
K1 K 0.834 0.791 0.045
K2 K 0.209 0.166 0.455
K3 K 0.166 0.209 0.955
K4 K 0.791 0.834 0.545
K5 K 0.682 0.510 0.317
K6 K 0.490 0.318 0.183
K7 K 0.318 0.490 0.683
K8 K 0.510 0.682 0.817
Ge1 Ge 0.041 0.959 0.250
Ge2 Ge 0.959 0.041 0.750
P1 P 0.114 0.693 0.375
P2 P 0.307 0.886 0.125
P3 P 0.886 0.307 0.625
P4 P 0.693 0.114 0.875
P5 P 0.083 0.213 0.116
P6 P 0.787 0.917 0.384
P7 P 0.917 0.787 0.884
P8 P 0.213 0.083 0.616
S1 S 0.213 0.631 0.453
S2 S 0.369 0.787 0.047
S3 S 0.787 0.369 0.547
S4 S 0.631 0.213 0.953
S5 S 0.147 0.465 0.328
S6 S 0.535 0.853 0.172
S7 S 0.853 0.535 0.672
S8 S 0.465 0.147 0.828
S9 S 0.108 0.756 0.179
S10 S 0.244 0.892 0.321
S11 S 0.892 0.244 0.821
S12 S 0.756 0.108 0.679
S13 S 0.232 0.386 0.078
S14 S 0.614 0.768 0.422
S15 S 0.768 0.614 0.922
S16 S 0.386 0.232 0.578
S17 S 0.842 0.234 0.079
S18 S 0.766 0.158 0.421
S19 S 0.158 0.766 0.921
S20 S 0.234 0.842 0.579
S21 S 0.018 0.270 0.208
S22 S 0.730 0.982 0.292
S23 S 0.982 0.730 0.792
S24 S 0.270 0.018 0.708
# - size of the total moment (μB per cell) = 0.00
# - uncorrected formation energy (eV per atom) = -0.80



Please write out number 1 again, unchanged.
# meta-GGA SCAN Cr2CuTc, PBEsol geometry
data_Cr2CuTc
_cell_length_a 2.580
_cell_length_b 2.580
_cell_length_c 8.640
_cell_angle_alpha 81.41
_cell_angle_beta 81.41
_cell_angle_gamma 60.00
_space_group_name_H-M_alt 'P 1'
_space_group_IT_number 1
_space_group_name_Hall 'P 1'
loop_
_atom_site_label
_atom_site_type_symbol
_atom_site_fract_x
_atom_site_fract_y
_atom_site_fract_z
Cr1 Cr 0.250 0.250 0.251
Cr2 Cr 0.750 0.750 0.749
Cu1 Cu 0.500 0.500 0.500
Tc1 Tc 0.000 0.000 0.000
# - size of the total moment (μB per cell) = 0.00
# - E_form (eV/f.u.) = 1.59



- Which formula does entry 3 have?
  LaZr2BeFe



What did the first record say?
# meta-GGA SCAN Cr2CuTc, PBEsol geometry
data_Cr2CuTc
_cell_length_a 2.580
_cell_length_b 2.580
_cell_length_c 8.640
_cell_angle_alpha 81.41
_cell_angle_beta 81.41
_cell_angle_gamma 60.00
_space_group_name_H-M_alt 'P 1'
_space_group_IT_number 1
_space_group_name_Hall 'P 1'
loop_
_atom_site_label
_atom_site_type_symbol
_atom_site_fract_x
_atom_site_fract_y
_atom_site_fract_z
Cr1 Cr 0.250 0.250 0.251
Cr2 Cr 0.750 0.750 0.749
Cu1 Cu 0.500 0.500 0.500
Tc1 Tc 0.000 0.000 0.000
# - size of the total moment (μB per cell) = 0.00
# - E_form (eV/f.u.) = 1.59